Cs5FeO4 | Alexandria | GGA+U | optimized geometry; final energy = -4.2293 eV/atom
1.0
-10.436 -1.765 2.367
2.079 -8.523 2.813
2.066 2.400 10.901
O Fe Cs
16 4 20
direct
0.697 0.636 0.250
0.931 0.708 0.401
0.257 0.034 0.219
0.576 0.799 0.619
0.076 0.201 0.881
0.424 0.201 0.381
0.243 0.034 0.719
0.197 0.364 0.250
0.757 0.966 0.281
0.303 0.364 0.750
0.924 0.799 0.119
0.743 0.966 0.781
0.569 0.708 0.901
0.431 0.292 0.099
0.803 0.636 0.750
0.069 0.292 0.599
0.325 0.224 0.235
0.175 0.224 0.735
0.675 0.776 0.765
0.825 0.776 0.265
0.312 0.432 0.480
0.469 0.602 0.137
0.171 0.049 0.476
0.356 0.738 0.743
0.000 0.893 0.858
0.000 0.107 0.142
0.688 0.568 0.520
0.500 0.107 0.642
0.644 0.262 0.257
0.329 0.049 0.976
0.969 0.398 0.363
0.531 0.398 0.863
0.500 0.893 0.358
0.671 0.951 0.024
0.829 0.951 0.524
0.031 0.602 0.637
0.188 0.432 0.980
0.856 0.262 0.757
0.812 0.568 0.020
0.144 0.738 0.243